Density functional theory data (PBE with a Hubbard U) for crystalline LaSmNi2O6 at its relaxed geometry.

Lattice parameters (Å, degrees): 7.651 7.651 7.652 90.00 90.00 90.00
Atoms (fractional coordinates):
La (0.000, 0.000, 0.000)
La (0.000, 0.500, 0.000)
La (0.500, 0.000, 0.000)
La (0.500, 0.500, 0.500)
Sm (0.000, 0.000, 0.500)
Sm (0.000, 0.500, 0.500)
Sm (0.500, 0.000, 0.500)
Sm (0.500, 0.500, 0.000)
Ni (0.250, 0.250, 0.251)
Ni (0.250, 0.250, 0.749)
Ni (0.250, 0.750, 0.251)
Ni (0.250, 0.750, 0.749)
Ni (0.750, 0.250, 0.251)
Ni (0.750, 0.250, 0.749)
Ni (0.750, 0.750, 0.251)
Ni (0.750, 0.750, 0.749)
O (0.000, 0.250, 0.256)
O (0.000, 0.250, 0.744)
O (0.000, 0.750, 0.256)
O (0.000, 0.750, 0.744)
O (0.248, 0.248, 0.500)
O (0.248, 0.752, 0.500)
O (0.250, 0.000, 0.256)
O (0.250, 0.000, 0.744)
O (0.250, 0.500, 0.251)
O (0.250, 0.500, 0.749)
O (0.253, 0.253, 0.000)
O (0.253, 0.747, 0.000)
O (0.500, 0.250, 0.251)
O (0.500, 0.250, 0.749)
O (0.500, 0.750, 0.251)
O (0.500, 0.750, 0.749)
O (0.747, 0.253, 0.000)
O (0.747, 0.747, 0.000)
O (0.750, 0.000, 0.256)
O (0.750, 0.000, 0.744)
O (0.750, 0.500, 0.251)
O (0.750, 0.500, 0.749)
O (0.752, 0.248, 0.500)
O (0.752, 0.752, 0.500)

## Properties
* VASP energy: -65.16 eV per formula unit
* Fermi-level density of states: 7.12 states/eV/cell